No. 1
AcMg2Ir | GGA-PBE | relaxed

Values from the calculation:
Electronic total energy, eV per formula unit: -17.822
SG: P2_1/m, No. 11

Cell lengths 4.302, 8.406, 5.811 Å; angles 90.00, 111.71, 90.00 degrees
Sites, in units of the cell vectors:
Mg (0.335, 0.441, 0.169)
Ir (0.770, 0.250, 0.040)
Ir (0.230, 0.750, 0.960)
Mg (0.665, 0.941, 0.831)
Ac (0.056, 0.250, 0.612)
Mg (0.665, 0.559, 0.831)
Ac (0.944, 0.750, 0.388)
Mg (0.335, 0.059, 0.169)


No. 2
NdRePd | GGA-PBE | relaxed

Values from the calculation:
Electronic total energy, eV per formula unit: -20.288
Energy of formation, meV per atom: 691
SG: F-43m, No. 216

Cell lengths 4.643, 4.643, 4.643 Å; angles 60.00, 60.00, 60.00 degrees
Sites, in units of the cell vectors:
Pd (0.000, 0.000, 0.000)
Nd (0.750, 0.750, 0.750)
Re (0.250, 0.250, 0.250)


No. 3
BaHgTeO | GGA-PBE | relaxed

Values from the calculation:
Electronic total energy, eV per formula unit: -15.247
Offset from the most stable computed form, eV/atom: 0.092
SG: Pnma, No. 62

Cell lengths 6.865, 4.519, 15.471 Å; angles 90.00, 90.00, 90.00 degrees
Sites, in units of the cell vectors:
Ba (0.237, 0.250, 0.621)
O (0.832, 0.250, 0.308)
O (0.168, 0.750, 0.692)
Te (0.739, 0.250, 0.572)
Ba (0.263, 0.750, 0.121)
Te (0.261, 0.750, 0.428)
O (0.332, 0.250, 0.192)
Hg (0.690, 0.250, 0.178)
Te (0.761, 0.750, 0.072)
Hg (0.310, 0.750, 0.822)
Hg (0.810, 0.750, 0.678)
O (0.668, 0.750, 0.808)
Hg (0.190, 0.250, 0.322)
Ba (0.763, 0.750, 0.379)
Te (0.239, 0.250, 0.928)
Ba (0.737, 0.250, 0.879)


No. 4
Rb2Gd2O5 | GGA-PBE | relaxed

Values from the calculation:
Electronic total energy, eV per formula unit: -55.560
Offset from the most stable computed form, eV/atom: 0.000
SG: P4/mmm, No. 123

Cell lengths 9.403, 4.362, 4.362 Å; angles 90.00, 90.00, 90.00 degrees
Sites, in units of the cell vectors:
Gd (0.729, 0.500, 0.500)
Rb (0.500, 0.000, 0.000)
O (0.500, 0.500, 0.500)
O (0.212, 0.000, 0.500)
Gd (0.271, 0.500, 0.500)
O (0.212, 0.500, 0.000)
Rb (0.000, 0.000, 0.000)
O (0.788, 0.500, 0.000)
O (0.788, 0.000, 0.500)


No. 5
Tb2Pm2Cl | GGA-PBE | relaxed

Values from the calculation:
Electronic total energy, eV per formula unit: -20.251
SG: P4/mmm, No. 123

Cell lengths 4.204, 4.204, 9.532 Å; angles 90.00, 90.00, 90.00 degrees
Sites, in units of the cell vectors:
Pm (0.500, 0.500, 0.195)
Pm (0.500, 0.500, 0.805)
Tb (0.000, 0.500, 0.500)
Tb (0.500, 0.000, 0.500)
Cl (0.000, 0.000, 0.000)


No. 6
LaPrZn6Ge3 | GGA-PBE | relaxed

Values from the calculation:
Electronic total energy, eV per formula unit: -36.020
SG: Pmc2_1, No. 26

Cell lengths 4.136, 13.350, 7.707 Å; angles 90.00, 90.00, 90.00 degrees
Sites, in units of the cell vectors:
Zn (0.500, 0.251, 0.211)
Zn (0.500, 0.395, 0.644)
Ge (0.500, 0.060, 0.310)
Ge (0.500, 0.940, 0.810)
Zn (0.000, 0.655, 0.905)
Zn (0.000, 0.749, 0.189)
Zn (0.000, 0.251, 0.689)
Zn (0.500, 0.894, 0.145)
Zn (0.000, 0.345, 0.405)
Zn (0.000, 0.844, 0.907)
Zn (0.500, 0.605, 0.144)
Ge (0.500, 0.559, 0.809)
La (0.000, 0.916, 0.500)
Ge (0.500, 0.749, 0.380)
Pr (0.000, 0.417, 0.000)
Ge (0.500, 0.251, 0.880)
Zn (0.500, 0.749, 0.711)
Ge (0.500, 0.441, 0.309)
Pr (0.000, 0.583, 0.500)
Zn (0.000, 0.156, 0.407)
La (0.000, 0.084, 0.000)
Zn (0.500, 0.106, 0.645)


What did the first record say?
AcMg2Ir | GGA-PBE | relaxed

Values from the calculation:
Electronic total energy, eV per formula unit: -17.822
SG: P2_1/m, No. 11

Cell lengths 4.302, 8.406, 5.811 Å; angles 90.00, 111.71, 90.00 degrees
Sites, in units of the cell vectors:
Mg (0.335, 0.441, 0.169)
Ir (0.770, 0.250, 0.040)
Ir (0.230, 0.750, 0.960)
Mg (0.665, 0.941, 0.831)
Ac (0.056, 0.250, 0.612)
Mg (0.665, 0.559, 0.831)
Ac (0.944, 0.750, 0.388)
Mg (0.335, 0.059, 0.169)